First-principles (PBE) data for a relaxed structure of KNbAs, as listed in Alexandria via LeMat-Bulk.

The space group is P4/nmm (No. 129, origin choice 2) and the conventional cell measures 4.115, 4.115 and 10.072 Å, with angles of 90.00, 90.00 and 90.00 degrees. The distinct sites, in fractional coordinates, are K at (0.250, 0.250, 0.176), Nb at (0.250, 0.750, 0.500) and As at (0.250, 0.250, 0.672).

The total magnetization is 0.00 μB per cell. Its energy of formation is -119.8 kJ/mol of formula units. As for the crystal system: tetragonal. The calculation puts the density of states at the Fermi level at 4.3 states/eV/cell. As for the calculated total energy: -5.69 eV/atom. The value obtained for the theoretical density is 4.03 g/cm3.